8
Lattice="-3.476 3.476 6.938 3.476 -3.476 6.938 3.476 3.476 -6.938" Properties=species:S:1:pos:R:3 comment="KRhI2 PBE relaxed" total_magnetization_mub_per_atom=0.000 vol_a3_per_cell=335.2 de_polymorph_mev_per_atom=0 space_group="I-42d (122)" dft_energy_ev_per_cell=-26.0 e_form_raw_mev_per_atom=-364 pbc="T T T"
K 0.000 0.000 0.000
K 0.000 3.476 3.469
Rh 3.476 0.000 3.469
Rh 0.000 0.000 6.938
I 1.738 -0.996 5.203
I 2.479 1.738 1.734
I 1.738 4.472 -1.734
I 0.996 1.738 8.672